This record from the Alexandria database describes a relaxed HfAl2ZnBr crystal. The functional is PBE-GGA.

a = 4.6333 Å, b = 4.6333 Å, c = 5.3814 Å
α = 90.00°, β = 90.00°, γ = 90.00°
Last column: nearest neighbours and their distance in Å.
Fractional positions:
1 Hf 0.0000 0.0000 0.0000  4 Br 3.28, 8 Al 3.55
2 Al 0.0000 0.5000 0.5000  2 Zn 2.32
3 Al 0.5000 0.0000 0.5000  2 Zn 2.32
4 Zn 0.5000 0.5000 0.5000  4 Al 2.32
5 Br 0.5000 0.5000 0.0000  2 Zn 2.69

## Properties
symmetry: No. 123
VASP energy: -3.34 eV/atom
formation energy from raw total energies: 733.7 meV/atom